# NbAgO3 | the Open Quantum Materials Database | PBE | optimized geometry
data_NbAgO3
_space_group_name_H-M_alt 'C 1 m 1'
_space_group_IT_number 8
_cell_length_a 18.264
_cell_length_b 3.813
_cell_length_c 8.224
_cell_angle_alpha 90.00
_cell_angle_beta 102.83
_cell_angle_gamma 90.00
loop_
_space_group_symop_operation_xyz
'x,y,z'
'x,-y,z'
'x+1/2,y+1/2,z'
'x+1/2,-y+1/2,z'
loop_
_atom_site_label
_atom_site_type_symbol
_atom_site_fract_x
_atom_site_fract_y
_atom_site_fract_z
Nb1 Nb 0.000 0.000 0.000
Nb2 Nb 0.048 0.500 0.356
Nb3 Nb 0.308 0.500 0.774
Nb4 Nb 0.357 0.000 0.132
Ag1 Ag 0.134 0.000 0.698
Ag2 Ag 0.179 0.500 0.067
Ag3 Ag 0.224 0.000 0.433
Ag4 Ag 0.426 0.000 0.614
O1 O 0.028 0.000 0.276
O2 O 0.060 0.500 0.583
O3 O 0.093 0.000 0.959
O4 O 0.147 0.500 0.330
O5 O 0.210 0.500 0.802
O6 O 0.264 0.000 0.173
O7 O 0.297 0.500 0.548
O8 O 0.329 0.000 0.853
O9 O 0.371 0.500 0.062
O10 O 0.423 0.000 0.339
O11 O 0.435 0.500 0.788
O12 O 0.486 0.000 0.064
# * spin magnetization: 0.0 μB per formula unit
# * uncorrected energy: -7.329 eV/atom